The following is a DFT calculation (GGA+U) of crystalline RbFeMo2O8 at its relaxed geometry.

Geometry as POSCAR:
```
RbFeMo2O8
1.0
-2.576 4.938 -1.561
-0.622 -4.741 -3.255
-6.288 -1.986 4.094
O Rb Fe Mo
8 1 1 2
direct
0.161 0.839 0.154 O
0.161 0.323 0.154 O
0.333 0.667 0.451 O
0.677 0.839 0.154 O
0.839 0.161 0.846 O
0.839 0.677 0.846 O
0.323 0.161 0.846 O
0.667 0.333 0.549 O
0.000 0.000 0.500 Rb
0.000 0.000 0.000 Fe
0.333 0.667 0.225 Mo
0.667 0.333 0.775 Mo
```

crystal system: trigonal
E: -6.73 eV per atom
calculated density: 3.4 g/cm3
total moment: 5.0 μB per formula unit
space-group type: P-3m1, No. 164